This record from Alexandria via LeMat-Bulk describes an optimized crystal structure of Sm2HoHgO. The functional is PBE.

Results
The calculation puts the formation energy without anion corrections at -1.3654 eV per atom. The total magnetic moment is 0.00 μB/cell. The value obtained for the energy is -26.103 eV/f.u.

abc: 4.8912 4.8912 4.7362
angles: 90.00 90.00 90.00
Closest atoms and distances in Å follow each position.
Space group P4/mmm (No. 123)
Asymmetric unit:
Sm 0.0000 0.5000 0.0000  2 O 2.45
Ho 0.0000 0.0000 0.5000  2 O 2.37
Hg 0.5000 0.5000 0.5000  8 Sm 3.40, 4 Ho 3.46
O 0.0000 0.0000 0.0000  2 Ho 2.37, 4 Sm 2.45



This record from Alexandria via LeMat-Bulk describes an optimized crystal structure of Tb2HoHgO. The functional is PBE.

Results
The calculation puts the formation energy without anion corrections at -1.3907 eV per atom. The total magnetic moment is 0.00 μB/cell. The value obtained for the energy is -26.052 eV/f.u.

abc: 4.7864 4.7864 4.7379
angles: 90.00 90.00 90.00
Closest atoms and distances in Å follow each position.
Space group P4/mmm (No. 123)
Asymmetric unit:
Tb 0.0000 0.5000 0.0000  2 O 2.39
Ho 0.0000 0.0000 0.5000  2 O 2.37
Hg 0.5000 0.5000 0.5000  8 Tb 3.37, 4 Ho 3.38
O 0.0000 0.0000 0.0000  2 Ho 2.37, 4 Tb 2.39